1.
The following is a GGA-PBE calculation of a relaxed NdInNi5Ge2 crystal, from the Alexandria database.

Its total energy is -5.195 eV/atom. The formation energy is -0.123 eV per atom. The total moment comes out at 0.00 Bohr magnetons per cell.

The structure belongs to space group P4/mmm (No. 123); the cell edges are 4.3947, 4.3947 and 7.4696 Å and the angles 90.00°, 90.00° and 90.00°. The asymmetric unit holds Nd at (0.0000, 0.0000, 0.0000), In at (0.0000, 0.0000, 0.5000), Ni at (0.0000, 0.5000, 0.2325), Ni at (0.5000, 0.5000, 0.0000) and Ge at (0.5000, 0.5000, 0.3330).

***

2.
The following is a GGA-PBE calculation of a relaxed Ce2UAg crystal, from the Alexandria database.

Its total energy is -6.414 eV/atom. The formation energy is 0.088 eV per atom. As for the polymorph energy (0 for the lowest one): 0.08 eV/f.u. The total moment comes out at 1.23 Bohr magnetons per cell.

The structure belongs to space group P4/mmm (No. 123); the cell edges are 2.9761, 2.9761 and 10.2119 Å and the angles 90.00°, 90.00° and 90.00°. The asymmetric unit holds Ce at (0.0000, 0.0000, 0.2498), U at (0.5000, 0.5000, 0.0000) and Ag at (0.5000, 0.5000, 0.5000).

***

3.
The following is a GGA-PBE calculation of a relaxed HgAsAuSe2 crystal, from the Alexandria database.

Its total energy is -2.387 eV/atom. As for the polymorph energy (0 for the lowest one): 0.00 eV/f.u. The raw formation energy is 0.65 eV per atom. The total moment comes out at 0.18 Bohr magnetons per cell.

The structure belongs to space group P4/mmm (No. 123); the cell edges are 5.2689, 5.2689 and 4.8897 Å and the angles 90.00°, 90.00° and 90.00°. The asymmetric unit holds Hg at (0.0000, 0.0000, 0.0000), As at (0.5000, 0.5000, 0.0000), Au at (0.5000, 0.5000, 0.5000) and Se at (0.0000, 0.5000, 0.5000).